Compound: Rb3NdP2O8
Source: Alexandria
Functional: GGA-PBE
Structure: optimized geometry

Computed properties:
energy	-6.6884	eV/atom
formation energy without anion corrections	-35.5	eV per formula unit

abc: 5.8541 5.8541 8.3204
angles: 90.00 90.00 120.00
Last column: nearest neighbours and their distance in Å.
Space group P-3m1 (No. 164)
Unique sites:
Rb 0.0000 0.0000 0.0000 x1  12 O 3.37-3.45
Rb 0.3333 0.6667 0.7551 x2  7 O 2.73-3.03
Nd 0.0000 0.0000 0.5000 x1  6 O 2.36
P 0.3333 0.6667 0.2673 x2  4 O 1.53-1.57
O 0.1883 0.3765 0.3332 x6  1 P 1.57
O 0.3333 0.6667 0.0837 x2  1 P 1.53